The following is a PBE calculation of crystalline U2PaPbS8 at its relaxed geometry, from Alexandria.

Structure (POSCAR):
```
U2PaPbS8
1.0
6.204 0.000 0.000
0.000 8.275 0.000
-0.059 0.000 6.434
U Pa Pb S
2 1 1 8
Direct
0.000 0.250 0.000 U
0.000 0.750 0.000 U
0.500 0.000 0.500 Pa
0.500 0.500 0.500 Pb
0.211 0.500 0.854 S
0.219 0.000 0.829 S
0.268 0.228 0.327 S
0.268 0.772 0.327 S
0.732 0.228 0.673 S
0.732 0.772 0.673 S
0.781 0.000 0.171 S
0.789 0.500 0.146 S
```

Results
The calculation puts the formation energy (no corrections) at -14.10 eV/f.u. The total energy is -6.908 eV/atom. Its volume is 27.53 Å³/atom.



The following is a PBE calculation of crystalline PaZnPb2S5 at its relaxed geometry, from Alexandria.

Structure (POSCAR):
```
PaZnPb2S5
1.0
2.015 -8.690 0.000
2.015 8.690 0.000
0.000 0.000 12.784
Pa Zn Pb S
2 2 4 10
Direct
0.204 0.796 0.500 Pa
0.796 0.204 0.000 Pa
0.443 0.557 0.905 Zn
0.557 0.443 0.405 Zn
0.103 0.897 0.128 Pb
0.116 0.884 0.782 Pb
0.884 0.116 0.282 Pb
0.897 0.103 0.628 Pb
0.047 0.953 0.506 S
0.283 0.717 0.140 S
0.307 0.693 0.858 S
0.359 0.641 0.476 S
0.497 0.503 0.245 S
0.503 0.497 0.745 S
0.641 0.359 0.976 S
0.693 0.307 0.358 S
0.717 0.283 0.640 S
0.953 0.047 0.006 S
```

Results
The calculation puts the formation energy (no corrections) at -8.19 eV/f.u. The total energy is -5.223 eV/atom. Its volume is 24.88 Å³/atom.